A plane-wave DFT calculation with PBE+U was carried out for a relaxed structure of PmMoClO4.

For the final energy, the calculation gives -7.063 eV per atom.

It has space group C2/m (No. 12), with a = 10.502 Å, b = 7.508 Å, c = 7.038 Å, α = 90.00°, β = 106.79° and γ = 90.00°. The inequivalent atoms are Pm at (0.222, 0.000, 0.114), Mo at (0.138, 0.500, 0.268), Cl at (0.011, 0.000, 0.766), O at (0.038, 0.500, 0.792), O at (0.197, 0.314, 0.151) and O at (0.208, 0.500, 0.530).